[1]
Below is crystalline TaNbIr3 at its relaxed geometry, with properties calculated at the PBE level.

Results
Energy relative to the lowest polymorph listed for this composition   0.00 eV/f.u.
Magnetization   0.00 μB/f.u.
Formation enthalpy at 0 K   -0.14 eV/atom

a b c (Å): 7.1415 7.1415 4.9339
angles (deg): 90.00 90.00 136.61
Closest atoms and distances in Å follow each position.
Positions (direct):
Ta1 0.1879 0.8121 0.7500  8 Ir 2.60-2.88
Ta2 0.8121 0.1879 0.2500  8 Ir 2.60-2.88
Nb1 0.4385 0.5615 0.2500  2 Nb 2.96, 10 Ir 2.98-3.03, 2 Ta 3.13
Nb2 0.5615 0.4385 0.7500  2 Nb 2.96, 10 Ir 2.98-3.03, 2 Ta 3.13
Ir1 0.0000 0.0000 0.0000  6 Ir 2.47-2.63
Ir2 0.0000 0.0000 0.5000  6 Ir 2.47-2.63
Ir3 0.1155 0.3995 0.7500  4 Ir 2.56-2.72, 1 Ta 2.60
Ir4 0.3995 0.1155 0.2500  4 Ir 2.56-2.72, 1 Ta 2.60
Ir5 0.6005 0.8845 0.7500  4 Ir 2.56-2.72, 1 Ta 2.60
Ir6 0.8845 0.6005 0.2500  4 Ir 2.56-2.72, 1 Ta 2.60



[2]
Below is crystalline TaNb3Ir at its relaxed geometry, with properties calculated at the PBE level.

Results
Energy relative to the lowest polymorph listed for this composition   0.00 eV/f.u.
Magnetization   0.00 μB/f.u.
Formation enthalpy at 0 K   0.08 eV/atom

a b c (Å): 7.3486 9.2066 2.9617
angles (deg): 90.00 108.76 90.00
Closest atoms and distances in Å follow each position.
Positions (direct):
Ta1 0.0000 0.0000 0.0000  2 Ir 2.59-2.63, 3 Nb 2.64-2.79
Ta2 0.5000 0.5000 0.0000  2 Ir 2.59-2.63, 3 Nb 2.64-2.79
Nb1 0.1160 0.2511 0.6392  2 Ir 2.68-2.88, 2 Ta 2.79-2.94, 4 Nb 2.89-3.00
Nb2 0.1160 0.7489 0.6392  2 Ir 2.68-2.88, 2 Ta 2.79-2.94, 4 Nb 2.89-3.00
Nb3 0.3506 0.0000 0.6235  1 Ir 2.61, 1 Ta 2.64, 2 Nb 2.89
Nb4 0.6160 0.2489 0.6392  2 Ir 2.68-2.88, 2 Ta 2.79-2.94, 4 Nb 2.89-3.00
Nb5 0.6160 0.7511 0.6392  2 Ir 2.68-2.88, 2 Ta 2.79-2.94, 4 Nb 2.89-3.00
Nb6 0.8506 0.5000 0.6235  1 Ir 2.61, 1 Ta 2.64, 2 Nb 2.89
Ir1 0.1913 0.5000 0.2637  2 Ta 2.59-2.63, 5 Nb 2.61-2.88
Ir2 0.6913 0.0000 0.2637  2 Ta 2.59-2.63, 5 Nb 2.61-2.88